No. 1
DFT (SCAN) results for a PBEsol-optimized structure of SrBi2SbAu.

Structure (extended XYZ):
```
5
Lattice="5.4324 0.0000 0.0000 0.0000 5.4324 0.0000 0.0000 0.0000 5.7633" Properties=species:S:1:pos:R:3 pbc="T T T"
Sr 0.0000 0.0000 0.0000
Bi 0.0000 2.7162 2.8816
Bi 2.7162 0.0000 2.8816
Sb 2.7162 2.7162 0.0000
Au 0.0000 0.0000 2.8816
```



No. 2
DFT (SCAN) results for a PBEsol-optimized structure of Sc2BiAu2.

Structure (extended XYZ):
```
10
Lattice="7.8322 0.0000 0.0000 0.0000 7.8322 0.0000 0.0000 0.0000 3.4050" Properties=species:S:1:pos:R:3 pbc="T T T"
Sc 1.2834 2.6327 0.0000
Sc 2.6327 6.5488 0.0000
Sc 5.1995 1.2834 0.0000
Sc 6.5488 5.1995 0.0000
Bi 0.0000 0.0000 1.7025
Bi 3.9161 3.9161 1.7025
Au 1.0005 4.9166 1.7025
Au 2.9156 1.0005 1.7025
Au 4.9166 6.8317 1.7025
Au 6.8317 2.9156 1.7025
```

## Properties
The energy of formation comes out at -4.4 eV/f.u.



No. 3
DFT (SCAN) results for a PBEsol-optimized structure of ScBiAu3.

Structure (extended XYZ):
```
5
Lattice="4.9978 0.0000 0.0000 0.0000 4.9978 0.0000 0.0000 0.0000 4.9978" Properties=species:S:1:pos:R:3 pbc="T T T"
Sc 0.0000 0.0000 0.0000
Bi 2.4989 2.4989 2.4989
Au 0.0000 0.0000 2.4989
Au 0.0000 2.4989 0.0000
Au 2.4989 0.0000 0.0000
```

## Properties
The energy of formation comes out at 1.7 eV/f.u.



No. 4
DFT (SCAN) results for a PBEsol-optimized structure of ScBiTe2Au.

Structure (extended XYZ):
```
5
Lattice="5.7464 0.0000 0.0000 0.0000 5.7464 0.0000 0.0000 0.0000 5.4926" Properties=species:S:1:pos:R:3 pbc="T T T"
Sc 0.0000 0.0000 0.0000
Bi 0.0000 0.0000 2.7463
Te 0.0000 2.8732 2.7463
Te 2.8732 0.0000 2.7463
Au 2.8732 2.8732 0.0000
```



No. 5
DFT (SCAN) results for a PBEsol-optimized structure of ZnBi2AuSe.

Structure (extended XYZ):
```
5
Lattice="5.3556 0.0000 0.0000 0.0000 5.3556 0.0000 0.0000 0.0000 4.5888" Properties=species:S:1:pos:R:3 pbc="T T T"
Zn 0.0000 0.0000 0.0000
Bi 0.0000 2.6778 0.0000
Bi 2.6778 0.0000 0.0000
Au 2.6778 2.6778 2.2944
Se 0.0000 0.0000 2.2944
```



No. 6
DFT (SCAN) results for a PBEsol-optimized structure of Si2SnBiAu.

Structure (extended XYZ):
```
5
Lattice="5.2726 0.0000 0.0000 0.0000 5.2726 0.0000 0.0000 0.0000 5.2577" Properties=species:S:1:pos:R:3 pbc="T T T"
Si 0.0000 2.6363 0.0000
Si 2.6363 0.0000 0.0000
Sn 0.0000 0.0000 2.6289
Bi 2.6363 2.6363 0.0000
Au 2.6363 2.6363 2.6289
```



No. 7
DFT (SCAN) results for a PBEsol-optimized structure of Sn2BiAu2.

Structure (extended XYZ):
```
10
Lattice="7.8723 0.0000 0.0000 0.0000 7.8723 0.0000 0.0000 0.0000 3.7124" Properties=species:S:1:pos:R:3 pbc="T T T"
Sn 1.3007 2.6355 0.0000
Sn 2.6355 6.5717 0.0000
Sn 5.2369 1.3007 0.0000
Sn 6.5717 5.2369 0.0000
Bi 0.0000 0.0000 1.8562
Bi 3.9362 3.9362 1.8562
Au 1.0289 4.9650 1.8562
Au 2.9073 1.0289 1.8562
Au 4.9650 6.8435 1.8562
Au 6.8435 2.9073 1.8562
```

## Properties
The energy of formation comes out at 0.2 eV/f.u.



No. 8
DFT (SCAN) results for a PBEsol-optimized structure of SrBi2Au.

Structure (extended XYZ):
```
4
Lattice="0.0000 3.7991 3.7991 3.7991 0.0000 3.7991 3.7991 3.7991 0.0000" Properties=species:S:1:pos:R:3 pbc="T T T"
Sr 0.0000 0.0000 0.0000
Bi 1.8995 1.8995 1.8995
Bi 5.6986 5.6986 5.6986
Au 3.7991 3.7991 3.7991
```

## Properties
The energy of formation comes out at -0.8 eV/f.u.



No. 9
DFT (SCAN) results for a PBEsol-optimized structure of TcBiAu3.

Structure (extended XYZ):
```
5
Lattice="5.2148 0.0000 0.0000 0.0000 5.2148 0.0000 0.0000 0.0000 5.2148" Properties=species:S:1:pos:R:3 pbc="T T T"
Tc 0.0000 0.0000 0.0000
Bi 2.6074 2.6074 2.6074
Au 0.0000 2.6074 2.6074
Au 2.6074 0.0000 2.6074
Au 2.6074 2.6074 0.0000
```

## Properties
The energy of formation comes out at 6.8 eV/f.u.



No. 10
DFT (SCAN) results for a PBEsol-optimized structure of BiTeAu2.

Structure (extended XYZ):
```
8
Lattice="-3.5073 3.5073 4.5781 3.5073 -3.5073 4.5781 3.5073 3.5073 -4.5781" Properties=species:S:1:pos:R:3 pbc="T T T"
Bi 0.0000 0.0000 0.0000
Bi 0.0000 3.5073 2.2890
Te 3.5073 0.0000 2.2890
Te 0.0000 0.0000 4.5781
Au 1.7536 1.8277 -1.1445
Au 5.1869 1.7536 1.1445
Au 1.7536 1.6796 3.4335
Au -1.6796 1.7536 5.7226
```



No. 11
DFT (SCAN) results for a PBEsol-optimized structure of Ti2Bi2Au.

Structure (extended XYZ):
```
5
Lattice="-2.3666 2.3666 5.5852 2.3666 -2.3666 5.5852 2.3666 2.3666 -5.5852" Properties=species:S:1:pos:R:3 pbc="T T T"
Ti 2.3666 0.0000 2.7926
Ti 0.0000 2.3666 2.7926
Bi 0.0000 0.0000 1.4420
Bi 0.0000 0.0000 9.7284
Au 0.0000 0.0000 5.5852
```

## Properties
The energy of formation comes out at 1.8 eV/f.u.



No. 12
DFT (SCAN) results for a PBEsol-optimized structure of Ti2BiAu2.

Structure (extended XYZ):
```
5
Lattice="-2.0523 2.0523 6.0778 2.0523 -2.0523 6.0778 2.0523 2.0523 -6.0778" Properties=species:S:1:pos:R:3 pbc="T T T"
Ti 2.0523 0.0000 3.0389
Ti 0.0000 2.0523 3.0389
Bi 0.0000 0.0000 0.0000
Au 0.0000 0.0000 4.7330
Au 0.0000 0.0000 7.4226
```

## Properties
The energy of formation comes out at -0.9 eV/f.u.



| no. | density of states at the Fermi level (states/eV/f.u.) | energy (eV/atom) | mass density (g/cm³) |
| --- | --- | --- | --- |
| 1 | 2.7 | -57.201 | 8.0 |
| 2 | 2.4 | -49.944 | 11.0 |
| 3 | 3.1 | -59.721 | 11.2 |
| 4 | 4.8 | -46.538 | 6.5 |
| 5 | 4.4 | -51.370 | 9.6 |
| 6 | 4.1 | -39.413 | 6.6 |
| 7 | 1.8 | -57.717 | 12.1 |
| 8 | 2.2 | -62.345 | 10.6 |
| 9 | 3.2 | -62.870 | 10.5 |
| 10 | 1.9 | -63.507 | 10.8 |
| 11 | 3.1 | -51.315 | 9.4 |
| 12 | 4.6 | -49.969 | 11.3 |